No. 1
DFT (GGA-PBE) results for a relaxed structure of ReP.

Calculated values
The value obtained for the calculated total energy is -8.963 eV per atom. The formation energy comes out at -0.034 eV/atom.

Lattice parameters (Å, degrees): 7.6736 7.6736 7.6736 22.21 22.21 22.21
Last column: nearest neighbours and their distance in Å.
Atoms (fractional coordinates):
Re 0.3841 0.3841 0.3841  3 P 2.39
Re 0.6159 0.6159 0.6159  3 P 2.39
P 0.1253 0.1253 0.1253  3 Re 2.39, 3 P 2.52
P 0.8747 0.8747 0.8747  3 Re 2.39, 3 P 2.52

No. 2
DFT (GGA-PBE) results for a relaxed structure of Np2Si4Ni3Rh.

Calculated values
For the uncorrected formation energy, the calculation gives -0.5912 eV/atom. The value obtained for the calculated total energy is -7.818 eV per atom.

Lattice parameters (Å, degrees): 3.9736 3.9736 9.6921 90.00 90.00 90.00
Last column: nearest neighbours and their distance in Å.
Atoms (fractional coordinates):
Ni 0.5000 0.0000 0.8781  5 Si 2.31
Ni 0.0000 0.5000 0.1219  5 Si 2.31
Ni 0.0000 0.0000 0.5000  4 Si 2.40
Rh 0.5000 0.5000 0.5000  4 Si 2.40
Si 0.5000 0.5000 0.0000  4 Ni 2.31
Si 0.5000 0.0000 0.6397  3 Ni 2.31-2.40, 2 Rh 2.40
Si 0.0000 0.0000 0.0000  4 Ni 2.31
Si 0.0000 0.5000 0.3603  3 Ni 2.31-2.40, 2 Rh 2.40
Np 0.5000 0.0000 0.2426  8 Si 3.03-3.08, 6 Ni 3.04-3.19, 2 Rh 3.19
Np 0.0000 0.5000 0.7574  8 Si 3.03-3.08, 6 Ni 3.04-3.19, 2 Rh 3.19

No. 3
DFT (GGA-PBE) results for a relaxed structure of ReRh2Br.

Calculated values
For the uncorrected formation energy, the calculation gives 0.3781 eV/atom. The value obtained for the calculated total energy is -6.828 eV per atom.

Lattice parameters (Å, degrees): 3.5175 2.8445 7.0825 89.99 90.00 90.00
Last column: nearest neighbours and their distance in Å.
Atoms (fractional coordinates):
Rh 0.0000 0.2500 0.5574  4 Re 2.64, 3 Rh 2.73-2.84, 2 Br 2.80
Rh 0.0000 0.2500 0.9426  4 Re 2.64, 3 Rh 2.73-2.84, 2 Br 2.80
Br 0.5000 0.2500 0.2500  4 Rh 2.80, 2 Br 2.84
Re 0.5000 0.7500 0.7500  8 Rh 2.64, 2 Re 2.84

No. 4
DFT (GGA-PBE) results for a relaxed structure of NaBPd.

Calculated values
The value obtained for the calculated total energy is -4.504 eV per atom. The formation energy comes out at -0.107 eV/atom.

Lattice parameters (Å, degrees): 4.2999 4.2999 5.3687 75.31 75.31 76.92
Last column: nearest neighbours and their distance in Å.
Atoms (fractional coordinates):
Pd 0.7127 0.7127 0.3153  4 B 2.21-2.25
Pd 0.3156 0.3156 0.3139  4 B 2.21-2.24
B 0.1845 0.8569 0.2885  1 B 1.75
B 0.8569 0.1845 0.2885  1 B 1.75
Na 0.6399 0.1390 0.8022  1 B 2.65, 2 Na 2.67-2.68, 2 Pd 2.94-2.95
Na 0.1390 0.6399 0.8022  1 B 2.65, 2 Na 2.67-2.68, 2 Pd 2.94-2.95